No. 1
A relaxed Rb2O2F crystal, computed with GGA-PBE.

Computed properties:
Total magnetic moment, μB/cell: 2.00
Formation energy (no corrections), meV per atom: -1499

abc: 7.544 7.544 4.128
angles: 90.00 90.00 90.00
Space group P4/mbm (No. 127)
Symmetry-distinct sites (fractional):
Rb (0.206, 0.294, 0.000)
O (0.064, 0.564, 0.500)
F (0.000, 0.000, 0.000)

***

No. 2
A relaxed RbO2F crystal, computed with GGA-PBE.

Computed properties:
Total magnetic moment, μB/cell: 2.04
Formation energy (no corrections), meV per atom: -1255
E above lowest polymorph, meV per atom: 0

abc: 3.870 3.877 7.460
angles: 98.33 99.58 90.19
Space group P1 (No. 1)
Symmetry-distinct sites (fractional):
Rb (0.000, 0.000, 0.000)
O (0.079, 0.087, 0.458)
O (0.919, 0.911, 0.543)
F (0.500, 0.500, 0.000)